(1)
PaTlPb2O6 | GGA-PBE | optimized geometry

a = 6.209 Å, b = 6.209 Å, c = 4.470 Å
α = 90.00°, β = 90.00°, γ = 90.00°
Element x y z (fractional)
Pa (0.000, 0.000, 0.000)
Tl (0.500, 0.500, 0.972)
Pb (0.000, 0.500, 0.379)
Pb (0.500, 0.000, 0.379)
O (0.000, 0.000, 0.515)
O (0.242, 0.242, 0.066)
O (0.242, 0.758, 0.066)
O (0.500, 0.500, 0.495)
O (0.758, 0.242, 0.066)
O (0.758, 0.758, 0.066)

## Properties
Volume in A^3/atom: 17.2
Magnetic moment in μB per formula unit: 0.0
Calculated density in g cm⁻³: 9.11
Energy relative to the elements, uncorrected in eV per formula unit: -17.6
Space-group type: No. 99

(2)
Pa3Tl4PbO12 | GGA-PBE | optimized geometry

a = 7.600 Å, b = 7.600 Å, c = 7.600 Å
α = 109.47°, β = 109.47°, γ = 109.47°
Element x y z (fractional)
Pa (0.000, 0.500, 0.500)
Pa (0.500, 0.000, 0.500)
Pa (0.500, 0.500, 0.000)
Tl (0.000, 0.000, 0.500)
Tl (0.000, 0.500, 0.000)
Tl (0.500, 0.000, 0.000)
Tl (0.500, 0.500, 0.500)
Pb (0.000, 0.000, 0.000)
O (0.000, 0.254, 0.254)
O (0.000, 0.746, 0.746)
O (0.250, 0.500, 0.750)
O (0.250, 0.750, 0.500)
O (0.254, 0.000, 0.254)
O (0.254, 0.254, 0.000)
O (0.500, 0.250, 0.750)
O (0.500, 0.750, 0.250)
O (0.746, 0.000, 0.746)
O (0.746, 0.746, 0.000)
O (0.750, 0.250, 0.500)
O (0.750, 0.500, 0.250)

## Properties
Volume in A^3/atom: 16.9
Magnetic moment in μB per formula unit: 0.0
Calculated density in g cm⁻³: 9.38
Fermi-level density of states in states/eV/atom: 0.36
Energy relative to the elements, uncorrected in eV per formula unit: -44.1
Space-group type: No. 229

(3)
Pa2TlPb2O7 | GGA-PBE | optimized geometry

a = 12.776 Å, b = 12.776 Å, c = 12.776 Å
α = 160.60°, β = 28.31°, γ = 159.57°
Element x y z (fractional)
Pa (0.089, 0.000, 0.089)
Pa (0.911, 0.000, 0.911)
Tl (0.501, 0.001, 0.500)
Pb (0.298, 0.500, 0.798)
Pb (0.702, 0.500, 0.202)
O (0.000, 0.000, 0.000)
O (0.083, 0.500, 0.583)
O (0.175, 0.000, 0.175)
O (0.398, 0.500, 0.898)
O (0.602, 0.500, 0.102)
O (0.826, 0.000, 0.825)
O (0.917, 0.500, 0.417)

## Properties
Volume in A^3/atom: 20.1
Magnetic moment in μB per formula unit: 0.4
Calculated density in g cm⁻³: 8.20
Fermi-level density of states in states/eV/atom: 0.19
Energy relative to the elements, uncorrected in eV per formula unit: -28.3
Space-group type: No. 44

(4)
PaTlPb2O8 | GGA-PBE | optimized geometry

a = 6.282 Å, b = 6.282 Å, c = 6.282 Å
α = 110.39°, β = 110.39°, γ = 107.65°
Element x y z (fractional)
Pa (0.000, 0.000, 0.000)
Tl (0.750, 0.250, 0.500)
Pb (0.250, 0.750, 0.500)
Pb (0.500, 0.500, 0.000)
O (0.049, 0.349, 0.300)
O (0.049, 0.748, 0.700)
O (0.095, 0.281, 0.814)
O (0.252, 0.951, 0.300)
O (0.466, 0.281, 0.186)
O (0.651, 0.951, 0.700)
O (0.719, 0.534, 0.814)
O (0.719, 0.905, 0.186)

## Properties
Volume in A^3/atom: 15.9
Magnetic moment in μB per formula unit: 0.0
Calculated density in g cm⁻³: 8.52
Energy relative to the elements, uncorrected in eV per formula unit: -17.0
Space-group type: No. 119

(5)
PaTlPbO5 | GGA-PBE | optimized geometry

a = 6.475 Å, b = 6.475 Å, c = 8.334 Å
α = 105.32°, β = 105.32°, γ = 107.42°
Element x y z (fractional)
Pa (0.000, 0.000, 0.000)
Pa (0.000, 0.000, 0.500)
Tl (0.308, 0.692, 0.750)
Tl (0.692, 0.308, 0.250)
Pb (0.299, 0.701, 0.250)
Pb (0.701, 0.299, 0.750)
O (0.076, 0.924, 0.250)
O (0.082, 0.681, 0.902)
O (0.219, 0.344, 0.572)
O (0.319, 0.918, 0.598)
O (0.344, 0.219, 0.072)
O (0.656, 0.781, 0.928)
O (0.681, 0.082, 0.402)
O (0.781, 0.656, 0.428)
O (0.918, 0.319, 0.098)
O (0.924, 0.076, 0.750)

## Properties
Volume in A^3/atom: 18.6
Magnetic moment in μB per formula unit: 0.0
Calculated density in g cm⁻³: 8.04
Fermi-level density of states in states/eV/atom: 0.00
Energy relative to the elements, uncorrected in eV per formula unit: -16.1
Space-group type: No. 15

(6)
TmPaPbO6 | GGA-PBE | optimized geometry

a = 5.603 Å, b = 5.603 Å, c = 4.861 Å
α = 90.00°, β = 90.00°, γ = 120.00°
Element x y z (fractional)
Tm (0.000, 0.000, 0.000)
Pa (0.333, 0.667, 0.500)
Pb (0.667, 0.333, 0.000)
O (0.006, 0.342, 0.245)
O (0.006, 0.664, 0.755)
O (0.336, 0.342, 0.755)
O (0.336, 0.994, 0.245)
O (0.658, 0.664, 0.245)
O (0.658, 0.994, 0.755)

## Properties
Volume in A^3/atom: 14.7
Magnetic moment in μB per formula unit: 0.0
Calculated density in g cm⁻³: 8.83
Fermi-level density of states in states/eV/atom: 0.00
Energy relative to the elements, uncorrected in eV per formula unit: -23.7
Space-group type: No. 149